The following is a DFT calculation (PBE) of Tl3GeF after structural relaxation.

Total magnetic moment = 0.00 Bohr magnetons per cell
Polymorph energy (0 for the lowest one) = 0.000 kcal/mol of atoms
Energy relative to the elements, uncorrected = -0.3504 eV per atom
Density = 8.4 g/cm³

a = 5.1754 Å, b = 5.1754 Å, c = 5.1754 Å
α = 90.00°, β = 90.00°, γ = 90.00°
Fractional coordinates of all 5 atoms:
Tl (0.0000, 0.0000, 0.5000)
Tl (0.0000, 0.5000, 0.0000)
Tl (0.5000, 0.0000, 0.0000)
Ge (0.5000, 0.5000, 0.5000)
F (0.0000, 0.0000, 0.0000)

=====

The following is a DFT calculation (PBE) of Pm3Sm12Sc after structural relaxation.

Total magnetic moment = 0.00 Bohr magnetons per cell
Energy of formation from the pure elements = 35.1 kJ/mol of formula units
Density = 7.1 g/cm³

a = 5.1095 Å, b = 5.1095 Å, c = 20.3878 Å
α = 90.00°, β = 90.00°, γ = 90.00°
Fractional coordinates of all 16 atoms:
Pm (0.0000, 0.0000, 0.0000)
Pm (0.0000, 0.0000, 0.2530)
Pm (0.0000, 0.0000, 0.7470)
Sm (0.0000, 0.5000, 0.1265)
Sm (0.0000, 0.5000, 0.3799)
Sm (0.0000, 0.5000, 0.6201)
Sm (0.0000, 0.5000, 0.8735)
Sm (0.5000, 0.0000, 0.1265)
Sm (0.5000, 0.0000, 0.3799)
Sm (0.5000, 0.0000, 0.6201)
Sm (0.5000, 0.0000, 0.8735)
Sm (0.5000, 0.5000, 0.0000)
Sm (0.5000, 0.5000, 0.2536)
Sm (0.5000, 0.5000, 0.5000)
Sm (0.5000, 0.5000, 0.7464)
Sc (0.0000, 0.0000, 0.5000)

=====

The following is a DFT calculation (PBE) of LiSmBr6 after structural relaxation.

Total magnetic moment = 1.24 Bohr magnetons per cell
Energy relative to the elements, uncorrected = -1.0497 eV per atom
Density = 3.2 g/cm³

a = 7.7878 Å, b = 7.7878 Å, c = 7.7878 Å
α = 60.00°, β = 60.00°, γ = 60.00°
Fractional coordinates of all 8 atoms:
Li (0.0000, 0.0000, 0.0000)
Sm (0.5000, 0.5000, 0.5000)
Br (0.2417, 0.2417, 0.7583)
Br (0.2417, 0.7583, 0.2417)
Br (0.2417, 0.7583, 0.7583)
Br (0.7583, 0.2417, 0.2417)
Br (0.7583, 0.2417, 0.7583)
Br (0.7583, 0.7583, 0.2417)